[1]
First-principles (PBE) data for a relaxed Fe3SnI12 crystal, as listed in Alexandria via LeMat-Bulk.

## Properties
The density of states at the Fermi level is 0.550 states/eV per atom. The symmetry is No. 176. Its total energy is -3.16 eV per atom. The uncorrected formation energy comes out at -0.158 eV/atom.

abc: 8.028 15.344 15.344
angles: 120.00 90.00 90.00
Last column: magnetic moment on the atom in μB.
Fractional coordinates of all 32 atoms:
I 0.491 0.242 0.476  0.12
I 0.250 0.792 0.031  0.23
I 0.750 0.015 0.502  0.18
I 0.750 0.208 0.969  0.23
I 0.491 0.234 0.758  0.12
I 0.250 0.502 0.487  0.18
I 0.250 0.513 0.015  0.18
I 0.750 0.762 0.792  0.23
I 0.750 0.031 0.238  0.23
I 0.750 0.498 0.513  0.18
I 0.991 0.766 0.242  0.12
I 0.009 0.234 0.758  0.12
I 0.491 0.524 0.766  0.12
I 0.250 0.985 0.498  0.18
I 0.250 0.969 0.762  0.23
I 0.509 0.758 0.524  0.12
I 0.509 0.766 0.242  0.12
I 0.991 0.476 0.234  0.12
I 0.250 0.238 0.208  0.23
I 0.991 0.758 0.524  0.12
I 0.750 0.487 0.985  0.18
I 0.009 0.524 0.766  0.12
I 0.009 0.242 0.476  0.12
I 0.509 0.476 0.234  0.12
Fe 0.250 0.874 0.574  3.40
Fe 0.750 0.300 0.874  3.40
Fe 0.750 0.126 0.426  3.40
Fe 0.750 0.574 0.700  3.40
Fe 0.250 0.700 0.126  3.40
Fe 0.250 0.426 0.300  3.40
Sn 0.250 0.333 0.667  0.02
Sn 0.750 0.667 0.333  0.02

=====

[2]
First-principles (PBE) data for a relaxed FeSnI6 crystal, as listed in Alexandria via LeMat-Bulk.

## Properties
The density of states at the Fermi level is 0.423 states/eV per atom. The symmetry is No. 12. Its total energy is -2.85 eV per atom. The uncorrected formation energy comes out at -0.134 eV/atom.

abc: 9.469 9.469 9.485
angles: 109.50 109.80 109.04
Last column: magnetic moment on the atom in μB.
Fractional coordinates of all 16 atoms:
I 0.877 0.196 0.706  0.08
I 0.324 0.125 0.829  0.08
I 0.189 0.702 0.891  0.17
I 0.123 0.804 0.294  0.08
I 0.296 0.494 0.171  0.08
I 0.823 0.672 0.495  0.00
I 0.676 0.875 0.171  0.08
I 0.811 0.298 0.109  0.17
I 0.177 0.328 0.505  0.00
I 0.490 0.171 0.294  0.08
I 0.704 0.506 0.829  0.08
I 0.510 0.829 0.706  0.08
Fe 0.000 0.500 0.000  3.42
Fe 0.500 0.000 0.000  3.42
Sn 0.500 0.500 0.500  -0.04
Sn 0.000 0.000 0.500  -0.04

=====

[3]
First-principles (PBE) data for a relaxed Fe3SnI crystal, as listed in Alexandria via LeMat-Bulk.

## Properties
The density of states at the Fermi level is 1.481 states/eV per atom. The symmetry is No. 221. Its total energy is -4.86 eV per atom. The uncorrected formation energy comes out at 1.333 eV/atom. The energy above the lowest structure with this stoichiometry is 0.000 eV/f.u.

abc: 4.717 4.717 4.717
angles: 90.00 90.00 90.00
Last column: magnetic moment on the atom in μB.
Fractional coordinates of all 5 atoms:
I 0.000 0.000 0.000  -0.07
Fe 0.000 0.000 0.500  2.12
Fe 0.500 0.000 0.000  2.51
Fe 0.000 0.500 0.000  2.23
Sn 0.500 0.500 0.500  -0.06